Computed, not measured: a relaxed structure of DyHoZr2P2 at the PBE-GGA level of DFT. Values from VASP.

Calculated values
- E_tot (eV/cell) = -86.7

Geometry as Quantum ESPRESSO input:
```
&SYSTEM
  ibrav = 0, nat = 12, ntyp = 4
/
ATOMIC_SPECIES
Dy 162.50 Dy.upf
Ho 164.93 Ho.upf
Zr 91.22 Zr.upf
P 30.97 P.upf
ATOMIC_POSITIONS angstrom
Dy 0.000 0.000 0.000
Dy 2.005 2.005 7.741
Ho 0.000 0.000 5.522
Ho 2.005 2.005 13.263
Zr 0.000 2.005 2.765
Zr 0.000 2.005 10.506
Zr 2.005 0.000 2.765
Zr 2.005 0.000 10.506
P 0.000 0.000 8.465
P 0.000 0.000 12.543
P 2.005 2.005 0.724
P 2.005 2.005 4.803
CELL_PARAMETERS angstrom
4.010 0.000 0.000
0.000 4.010 0.000
0.000 0.000 15.481
```